# 1
VASP calculation (PBE-GGA) on NdPuZnHg after structural relaxation.

abc: 5.282 5.282 5.282
angles: 60.00 60.00 60.00
Each line ends with the local moment (μB).
Fractional coordinates of all 4 atoms:
Zn: 0.750 0.750 0.750  0.01
Nd: 0.000 0.000 0.000  0.16
Pu: 0.500 0.500 0.500  5.48
Hg: 0.250 0.250 0.250  0.03

Computed properties:
electronic total energy = -5.355 eV per atom
magnetic moment = 1.55 μB per atom
E_form = -0.1864 eV/atom
crystal system = cubic


# 2
VASP calculation (PBE-GGA) on U2GaTc2 after structural relaxation.

abc: 5.153 5.499 7.219
angles: 98.64 110.91 90.00
Each line ends with the local moment (μB).
Fractional coordinates of all 10 atoms:
U: 0.771 0.950 0.722  1.02
Ga: 0.509 0.750 0.000  -0.01
Tc: 0.566 0.559 0.330  -0.17
U: 0.229 0.050 0.278  1.02
Tc: 0.434 0.441 0.670  -0.17
Ga: 0.491 0.250 0.000  -0.01
U: 0.951 0.450 0.722  1.02
Tc: 0.236 0.941 0.670  -0.17
U: 0.049 0.550 0.278  1.02
Tc: 0.764 0.059 0.330  -0.17

Computed properties:
electronic total energy = -9.333 eV per atom
excess energy over the best structure of this formula in the dataset = 3.2 kJ per mole of atoms
magnetic moment = 0.35 μB per atom
E_form = -0.0655 eV/atom
crystal system = monoclinic


# 3
VASP calculation (PBE-GGA) on Na3TlCd8 after structural relaxation.

abc: 6.003 6.003 10.401
angles: 73.23 73.23 60.00
Fractional coordinates of all 12 atoms:
Na: 0.999 0.999 0.004
Tl: 0.875 0.875 0.374
Cd: 0.939 0.438 0.185
Cd: 0.938 0.938 0.690
Cd: 0.938 0.434 0.690
Cd: 0.434 0.938 0.690
Cd: 0.187 0.187 0.439
Na: 0.501 0.501 0.496
Na: 0.375 0.375 0.874
Cd: 0.438 0.438 0.185
Cd: 0.438 0.939 0.185
Cd: 0.688 0.688 0.937

Computed properties:
electronic total energy = -1.220 eV per atom
magnetic moment = 0.00 μB per atom
E_form = -0.0825 eV/atom
crystal system = trigonal


# 4
VASP calculation (PBE-GGA) on FeSeCl2 after structural relaxation.

abc: 3.222 6.311 8.166
angles: 47.80 90.00 90.00
Each line ends with the local moment (μB).
Fractional coordinates of all 4 atoms:
Se: 0.500 0.525 0.642  -0.06
Cl: 0.000 0.023 0.121  0.18
Cl: 0.500 0.384 0.328  0.11
Fe: 0.000 0.568 0.409  2.87

Computed properties:
electronic total energy = -4.294 eV per atom
raw formation energy = -384 meV per atom
excess energy over the best structure of this formula in the dataset = 0.0 kJ per mole of atoms
magnetic moment = 0.83 μB per atom
crystal system = monoclinic


# 5
VASP calculation (PBE-GGA) on LiPmErMn after structural relaxation.

abc: 5.071 5.071 5.071
angles: 60.00 60.00 60.00
Each line ends with the local moment (μB).
Fractional coordinates of all 4 atoms:
Pm: 0.000 0.000 0.000  0.22
Mn: 0.250 0.250 0.250  -3.21
Er: 0.500 0.500 0.500  0.31
Li: 0.750 0.750 0.750  0.07

Computed properties:
electronic total energy = -4.963 eV per atom
magnetic moment = 0.62 μB per atom
E_form = 0.1366 eV/atom
crystal system = cubic


# 6
VASP calculation (PBE-GGA) on MgB4Pd12 after structural relaxation.

abc: 6.793 6.793 6.793
angles: 109.47 109.47 109.47
Fractional coordinates of all 17 atoms:
Mg: 0.000 0.000 0.000
B: 0.000 0.500 0.000
B: 0.000 0.000 0.500
Pd: 0.506 0.823 0.683
Pd: 0.494 0.177 0.317
B: 0.500 0.000 0.000
Pd: 0.177 0.317 0.494
Pd: 0.823 0.683 0.506
Pd: 0.823 0.317 0.139
Pd: 0.683 0.506 0.823
Pd: 0.317 0.139 0.823
Pd: 0.683 0.861 0.177
Pd: 0.139 0.823 0.317
Pd: 0.177 0.683 0.861
Pd: 0.861 0.177 0.683
B: 0.500 0.500 0.500
Pd: 0.317 0.494 0.177

Computed properties:
electronic total energy = -5.622 eV per atom
magnetic moment = 0.00 μB per atom
E_form = -0.2915 eV/atom
crystal system = cubic